Below is a geometry-optimized Fe2ReCl structure, with properties calculated at the PBE-GGA level.

Structure (CIF):
```
data_Fe2ReCl
_chemical_formula_sum 'Fe2 Re1 Cl1'
_space_group_name_H-M_alt 'P 1'
_space_group_IT_number 1
_space_group_name_Hall 'P 1'
_cell_length_a 4.251
_cell_length_b 4.251
_cell_length_c 4.251
_cell_angle_alpha 60.00
_cell_angle_beta 60.00
_cell_angle_gamma 60.00
loop_
_atom_site_label
_atom_site_fract_x
_atom_site_fract_y
_atom_site_fract_z
Re1 0.500 0.500 0.500
Fe1 0.250 0.250 0.250
Fe2 0.750 0.750 0.750
Cl1 0.000 0.000 0.000
```

- Calculated total energy: -26.742 eV per formula unit
- Space-group type: Fm-3m

=====

Below is a geometry-optimized Ce5In6Pb structure, with properties calculated at the PBE-GGA level.

Structure (CIF):
```
data_Ce5In6Pb
_chemical_formula_sum 'Ce5 In6 Pb1'
_space_group_name_H-M_alt 'P 1'
_space_group_IT_number 1
_space_group_name_Hall 'P 1'
_cell_length_a 5.916
_cell_length_b 6.641
_cell_length_c 9.010
_cell_angle_alpha 111.60
_cell_angle_beta 90.18
_cell_angle_gamma 90.00
loop_
_atom_site_label
_atom_site_fract_x
_atom_site_fract_y
_atom_site_fract_z
Pb1 0.000 0.000 0.000
Ce1 0.313 0.840 0.680
Ce2 0.676 0.669 0.337
Ce3 0.000 0.500 0.000
Ce4 0.324 0.331 0.663
Ce5 0.687 0.160 0.320
In1 0.181 0.419 0.333
In2 0.181 0.915 0.333
In3 0.500 0.257 0.000
In4 0.500 0.743 0.000
In5 0.819 0.085 0.667
In6 0.819 0.581 0.667
```

- Space-group type: C2/m
- E_form: -334 meV per atom

=====

Below is a geometry-optimized PmZn5Pt2 structure, with properties calculated at the PBE-GGA level.

Structure (CIF):
```
data_PmZn5Pt2
_chemical_formula_sum 'Pm1 Zn5 Pt2'
_space_group_name_H-M_alt 'P 1'
_space_group_IT_number 1
_space_group_name_Hall 'P 1'
_cell_length_a 3.895
_cell_length_b 6.495
_cell_length_c 6.495
_cell_angle_alpha 71.50
_cell_angle_beta 72.55
_cell_angle_gamma 72.55
loop_
_atom_site_label
_atom_site_fract_x
_atom_site_fract_y
_atom_site_fract_z
Pm1 0.000 0.000 0.000
Zn1 0.000 0.500 0.500
Zn2 0.645 0.541 0.169
Zn3 0.355 0.459 0.831
Zn4 0.355 0.831 0.459
Zn5 0.645 0.169 0.541
Pt1 0.739 0.761 0.761
Pt2 0.261 0.239 0.239
```

- Space-group type: Immm
- E_form: -532 meV per atom

=====

Below is a geometry-optimized Pm2MnZn3Cu12 structure, with properties calculated at the PBE-GGA level.

Structure (CIF):
```
data_Pm2MnZn3Cu12
_chemical_formula_sum 'Pm2 Mn1 Zn3 Cu12'
_space_group_name_H-M_alt 'P 1'
_space_group_IT_number 1
_space_group_name_Hall 'P 1'
_cell_length_a 9.663
_cell_length_b 9.663
_cell_length_c 9.663
_cell_angle_alpha 37.41
_cell_angle_beta 37.41
_cell_angle_gamma 37.41
loop_
_atom_site_label
_atom_site_fract_x
_atom_site_fract_y
_atom_site_fract_z
Pm1 0.649 0.649 0.649
Pm2 0.351 0.351 0.351
Mn1 0.000 0.000 0.000
Zn1 0.500 0.000 0.000
Zn2 0.000 0.500 0.000
Zn3 0.000 0.000 0.500
Cu1 0.420 0.420 0.807
Cu2 0.925 0.925 0.362
Cu3 0.362 0.925 0.925
Cu4 0.807 0.420 0.420
Cu5 0.925 0.362 0.925
Cu6 0.420 0.807 0.420
Cu7 0.580 0.580 0.193
Cu8 0.075 0.075 0.638
Cu9 0.638 0.075 0.075
Cu10 0.193 0.580 0.580
Cu11 0.075 0.638 0.075
Cu12 0.580 0.193 0.580
```

- Space-group type: R-3m
- E_form: 155 meV per atom

=====

Below is a geometry-optimized PmDyY structure, with properties calculated at the PBE-GGA level.

Structure (CIF):
```
data_PmDyY
_chemical_formula_sum 'Pm1 Dy1 Y1'
_space_group_name_H-M_alt 'P 1'
_space_group_IT_number 1
_space_group_name_Hall 'P 1'
_cell_length_a 3.591
_cell_length_b 3.591
_cell_length_c 8.765
_cell_angle_alpha 90.00
_cell_angle_beta 90.00
_cell_angle_gamma 120.00
loop_
_atom_site_label
_atom_site_fract_x
_atom_site_fract_y
_atom_site_fract_z
Y1 0.333 0.667 0.664
Pm1 0.000 0.000 0.001
Dy1 0.667 0.333 0.335
```

- Space-group type: P3m1
- E_form: 18 meV per atom

=====

Below is a geometry-optimized In2SnPb2 structure, with properties calculated at the PBE-GGA level.

Structure (CIF):
```
data_In2SnPb2
_chemical_formula_sum 'In2 Sn1 Pb2'
_space_group_name_H-M_alt 'P 1'
_space_group_IT_number 1
_space_group_name_Hall 'P 1'
_cell_length_a 4.234
_cell_length_b 4.234
_cell_length_c 9.086
_cell_angle_alpha 76.53
_cell_angle_beta 76.53
_cell_angle_gamma 90.00
loop_
_atom_site_label
_atom_site_fract_x
_atom_site_fract_y
_atom_site_fract_z
Pb1 0.405 0.405 0.190
Pb2 0.595 0.595 0.810
Sn1 0.000 0.000 0.000
In1 0.750 0.250 0.500
In2 0.250 0.750 0.500
```

- Space-group type: I4/mmm
- E_form: 137 meV per atom